# 1
First-principles (GGA+U) data for a relaxed structure of Na2NbVO6, as listed in Alexandria.

Cell lengths 5.390, 5.390, 4.305 Å; angles 90.00, 90.00, 90.00 degrees
Fractional positions:
Na  0.000  0.500  0.000
Na  0.500  0.000  0.000
Nb  0.000  0.000  0.548
V  0.500  0.500  0.536
O  0.000  0.000  0.120
O  0.258  0.258  0.625
O  0.258  0.742  0.625
O  0.500  0.500  0.148
O  0.742  0.258  0.625
O  0.742  0.742  0.625

=====

# 2
First-principles (GGA+U) data for a relaxed structure of NaNb2VO8, as listed in Alexandria.

Cell lengths 4.762, 4.762, 6.338 Å; angles 90.62, 90.62, 86.86 degrees
Fractional positions:
Na  0.000  0.000  0.000
Nb  0.471  0.471  0.753
Nb  0.529  0.529  0.247
V  0.000  0.000  0.500
O  0.200  0.795  0.293
O  0.205  0.800  0.707
O  0.294  0.294  0.503
O  0.320  0.320  0.998
O  0.680  0.680  0.002
O  0.706  0.706  0.497
O  0.795  0.200  0.293
O  0.800  0.205  0.707

=====

no.,E (eV/cell)
1,-71.30
2,-94.77